No. 1
SbAs4P | PBE | relaxed

Properties
Energy relative to the elements, uncorrected in eV per atom: 0.6889
SG: No. 216

CIF file:
```
data_SbAs4P
_chemical_formula_sum 'Sb1 As4 P1'
_space_group_name_H-M_alt 'P 1'
_space_group_IT_number 1
_cell_length_a 5.609
_cell_length_b 5.609
_cell_length_c 5.609
_cell_angle_alpha 60.00
_cell_angle_beta 60.00
_cell_angle_gamma 60.00
loop_
_space_group_symop_operation_xyz
'x,y,z'
loop_
_atom_site_label
_atom_site_fract_x
_atom_site_fract_y
_atom_site_fract_z
Sb1 0.000 0.000 0.000
As1 0.137 0.621 0.621
As2 0.621 0.137 0.621
As3 0.621 0.621 0.137
As4 0.621 0.621 0.621
P1 0.250 0.250 0.250
```



No. 2
HoAlCu6 | PBE | relaxed

Properties
Energy relative to the elements in eV per atom: -0.06
SG: No. 200

CIF file:
```
data_HoAlCu6
_chemical_formula_sum 'Ho1 Al1 Cu6'
_space_group_name_H-M_alt 'P 1'
_space_group_IT_number 1
_cell_length_a 4.865
_cell_length_b 4.865
_cell_length_c 4.865
_cell_angle_alpha 90.00
_cell_angle_beta 90.00
_cell_angle_gamma 90.00
loop_
_space_group_symop_operation_xyz
'x,y,z'
loop_
_atom_site_label
_atom_site_fract_x
_atom_site_fract_y
_atom_site_fract_z
Ho1 0.000 0.000 0.000
Al1 0.500 0.500 0.500
Cu1 0.000 0.259 0.500
Cu2 0.000 0.741 0.500
Cu3 0.259 0.500 0.000
Cu4 0.500 0.000 0.259
Cu5 0.500 0.000 0.741
Cu6 0.741 0.500 0.000
```



No. 3
CuSiSe2 | PBE | relaxed

Properties
Energy relative to the elements, uncorrected in eV per atom: 0.1789
SG: No. 71

CIF file:
```
data_CuSiSe2
_chemical_formula_sum 'Cu1 Si1 Se2'
_space_group_name_H-M_alt 'P 1'
_space_group_IT_number 1
_cell_length_a 5.761
_cell_length_b 5.761
_cell_length_c 5.761
_cell_angle_alpha 144.87
_cell_angle_beta 104.16
_cell_angle_gamma 86.42
loop_
_space_group_symop_operation_xyz
'x,y,z'
loop_
_atom_site_label
_atom_site_fract_x
_atom_site_fract_y
_atom_site_fract_z
Cu1 0.000 0.000 0.000
Si1 0.500 0.000 0.500
Se1 0.250 0.500 0.750
Se2 0.750 0.500 0.250
```



No. 4
V2Ni7Pd | PBE | relaxed

Properties
Energy relative to the elements in eV per atom: 0.34
SG: No. 65

CIF file:
```
data_V2Ni7Pd
_chemical_formula_sum 'V2 Ni7 Pd1'
_space_group_name_H-M_alt 'P 1'
_space_group_IT_number 1
_cell_length_a 8.026
_cell_length_b 8.026
_cell_length_c 2.500
_cell_angle_alpha 90.00
_cell_angle_beta 90.00
_cell_angle_gamma 124.01
loop_
_space_group_symop_operation_xyz
'x,y,z'
loop_
_atom_site_label
_atom_site_fract_x
_atom_site_fract_y
_atom_site_fract_z
V1 0.177 0.823 0.000
V2 0.823 0.177 0.000
Ni1 0.000 0.000 0.000
Ni2 0.159 0.360 0.000
Ni3 0.320 0.680 0.500
Ni4 0.360 0.159 0.000
Ni5 0.640 0.841 0.000
Ni6 0.680 0.320 0.500
Ni7 0.841 0.640 0.000
Pd1 0.500 0.500 0.500
```



No. 5
TiCr2AgI | PBE | relaxed

Properties
Energy relative to the elements, uncorrected in eV per atom: 1.1873
SG: No. 123

CIF file:
```
data_TiCr2AgI
_chemical_formula_sum 'Ti1 Cr2 Ag1 I1'
_space_group_name_H-M_alt 'P 1'
_space_group_IT_number 1
_cell_length_a 4.799
_cell_length_b 4.799
_cell_length_c 5.191
_cell_angle_alpha 90.00
_cell_angle_beta 90.00
_cell_angle_gamma 90.00
loop_
_space_group_symop_operation_xyz
'x,y,z'
loop_
_atom_site_label
_atom_site_fract_x
_atom_site_fract_y
_atom_site_fract_z
Ti1 0.000 0.000 0.000
Cr1 0.000 0.500 0.000
Cr2 0.500 0.000 0.000
Ag1 0.500 0.500 0.500
I1 0.000 0.000 0.500
```



No. 6
U11Pb3O36 | PBE | relaxed

Properties
Energy relative to the elements, uncorrected in eV per atom: -2.8899
SG: No. 59

CIF file:
```
data_U11Pb3O36
_chemical_formula_sum 'U22 Pb6 O72'
_space_group_name_H-M_alt 'P 1'
_space_group_IT_number 1
_cell_length_a 8.490
_cell_length_b 28.679
_cell_length_c 6.844
_cell_angle_alpha 90.00
_cell_angle_beta 90.00
_cell_angle_gamma 90.00
loop_
_space_group_symop_operation_xyz
'x,y,z'
loop_
_atom_site_label
_atom_site_fract_x
_atom_site_fract_y
_atom_site_fract_z
U1 0.250 0.031 0.225
U2 0.250 0.177 0.224
U3 0.250 0.323 0.224
U4 0.250 0.469 0.225
U5 0.250 0.538 0.770
U6 0.250 0.616 0.245
U7 0.250 0.678 0.773
U8 0.250 0.750 0.314
U9 0.250 0.822 0.773
U10 0.250 0.884 0.245
U11 0.250 0.962 0.770
U12 0.750 0.038 0.230
U13 0.750 0.116 0.755
U14 0.750 0.178 0.227
U15 0.750 0.250 0.686
U16 0.750 0.322 0.227
U17 0.750 0.384 0.755
U18 0.750 0.462 0.230
U19 0.750 0.531 0.775
U20 0.750 0.677 0.776
U21 0.750 0.823 0.776
U22 0.750 0.969 0.775
Pb1 0.250 0.105 0.691
Pb2 0.250 0.250 0.760
Pb3 0.250 0.395 0.691
Pb4 0.750 0.605 0.309
Pb5 0.750 0.750 0.240
Pb6 0.750 0.895 0.309
O1 0.015 0.676 0.772
O2 0.015 0.824 0.772
O3 0.023 0.533 0.777
O4 0.023 0.967 0.777
O5 0.031 0.615 0.241
O6 0.031 0.885 0.241
O7 0.032 0.750 0.316
O8 0.250 0.018 0.511
O9 0.250 0.039 0.936
O10 0.250 0.100 0.286
O11 0.250 0.166 0.950
O12 0.250 0.187 0.499
O13 0.250 0.250 0.157
O14 0.250 0.313 0.499
O15 0.250 0.334 0.950
O16 0.250 0.400 0.286
O17 0.250 0.461 0.936
O18 0.250 0.482 0.511
O19 0.250 0.537 0.139
O20 0.250 0.581 0.533
O21 0.250 0.609 0.907
O22 0.250 0.677 0.458
O23 0.250 0.693 0.076
O24 0.250 0.750 0.689
O25 0.250 0.807 0.076
O26 0.250 0.823 0.458
O27 0.250 0.891 0.907
O28 0.250 0.919 0.533
O29 0.250 0.963 0.139
O30 0.468 0.750 0.316
O31 0.469 0.615 0.241
O32 0.469 0.885 0.241
O33 0.477 0.533 0.777
O34 0.477 0.967 0.777
O35 0.485 0.676 0.772
O36 0.485 0.824 0.772
O37 0.515 0.176 0.228
O38 0.515 0.324 0.228
O39 0.523 0.033 0.223
O40 0.523 0.467 0.223
O41 0.531 0.115 0.759
O42 0.531 0.385 0.759
O43 0.532 0.250 0.684
O44 0.750 0.037 0.861
O45 0.750 0.081 0.467
O46 0.750 0.109 0.093
O47 0.750 0.177 0.542
O48 0.750 0.193 0.924
O49 0.750 0.250 0.311
O50 0.750 0.307 0.924
O51 0.750 0.323 0.542
O52 0.750 0.391 0.093
O53 0.750 0.419 0.467
O54 0.750 0.463 0.861
O55 0.750 0.518 0.489
O56 0.750 0.539 0.064
O57 0.750 0.600 0.714
O58 0.750 0.666 0.050
O59 0.750 0.687 0.501
O60 0.750 0.750 0.843
O61 0.750 0.813 0.501
O62 0.750 0.834 0.050
O63 0.750 0.900 0.714
O64 0.750 0.961 0.064
O65 0.750 0.982 0.489
O66 0.968 0.250 0.684
O67 0.969 0.115 0.759
O68 0.969 0.385 0.759
O69 0.977 0.033 0.223
O70 0.977 0.467 0.223
O71 0.985 0.176 0.228
O72 0.985 0.324 0.228
```



No. 7
Ta2TcHRh | PBE | relaxed

Properties
Excess energy over the best structure of this formula in the dataset in eV per atom: 0.000
SG: No. 123

CIF file:
```
data_Ta2TcHRh
_chemical_formula_sum 'Ta2 Tc1 H1 Rh1'
_space_group_name_H-M_alt 'P 1'
_space_group_IT_number 1
_cell_length_a 4.308
_cell_length_b 4.308
_cell_length_c 3.617
_cell_angle_alpha 90.00
_cell_angle_beta 90.00
_cell_angle_gamma 90.00
loop_
_space_group_symop_operation_xyz
'x,y,z'
loop_
_atom_site_label
_atom_site_fract_x
_atom_site_fract_y
_atom_site_fract_z
Ta1 0.000 0.500 0.000
Ta2 0.500 0.000 0.000
Tc1 0.000 0.000 0.500
H1 0.500 0.500 0.000
Rh1 0.500 0.500 0.500
```



No. 8
Mg2Ag2Cl7 | PBE | relaxed

Properties
Energy relative to the elements, uncorrected in eV per atom: -1.0521
Excess energy over the best structure of this formula in the dataset in eV per atom: 0.066
SG: No. 227

CIF file:
```
data_Mg2Ag2Cl7
_chemical_formula_sum 'Mg4 Ag4 Cl14'
_space_group_name_H-M_alt 'P 1'
_space_group_IT_number 1
_cell_length_a 8.996
_cell_length_b 8.996
_cell_length_c 8.996
_cell_angle_alpha 60.00
_cell_angle_beta 60.00
_cell_angle_gamma 60.00
loop_
_space_group_symop_operation_xyz
'x,y,z'
loop_
_atom_site_label
_atom_site_fract_x
_atom_site_fract_y
_atom_site_fract_z
Mg1 0.000 0.000 0.000
Mg2 0.000 0.000 0.500
Mg3 0.000 0.500 0.000
Mg4 0.500 0.000 0.000
Ag1 0.000 0.500 0.500
Ag2 0.500 0.000 0.500
Ag3 0.500 0.500 0.000
Ag4 0.500 0.500 0.500
Cl1 0.082 0.082 0.668
Cl2 0.082 0.668 0.082
Cl3 0.082 0.668 0.668
Cl4 0.332 0.332 0.918
Cl5 0.332 0.918 0.332
Cl6 0.332 0.918 0.918
Cl7 0.375 0.375 0.375
Cl8 0.625 0.625 0.625
Cl9 0.668 0.082 0.082
Cl10 0.668 0.082 0.668
Cl11 0.668 0.668 0.082
Cl12 0.918 0.332 0.332
Cl13 0.918 0.332 0.918
Cl14 0.918 0.918 0.332
```



no.,spin magnetization (μB per cell)
1,0.00
2,0.00
3,0.00
4,0.00
5,6.82
6,0.00
7,0.00
8,1.57